Run w
AgBiAsO | PBE | relaxed

Structure (POSCAR):
```
AgBiAsO
1.0
4.026 0.000 0.000
0.000 6.644 0.000
0.000 0.000 6.941
Ag Bi As O
2 2 2 2
direct
0.000 0.210 0.000
0.000 0.790 0.500
0.500 0.359 0.541
0.500 0.641 0.041
0.000 0.148 0.360
0.000 0.852 0.860
0.500 0.362 0.876
0.500 0.638 0.376
```

Calculated values
space group = Pmc2_1 (26)
volume = 185.6 Å³ per cell

***

Run x
AgBiAsO | PBE | relaxed

Structure (POSCAR):
```
AgBiAsO
1.0
3.982 0.000 0.000
0.000 3.982 0.000
0.000 0.000 9.588
Ag Bi As O
2 2 2 2
direct
0.250 0.750 0.000
0.750 0.250 0.000
0.250 0.250 0.368
0.750 0.750 0.632
0.250 0.250 0.809
0.750 0.750 0.191
0.250 0.750 0.500
0.750 0.250 0.500
```

Calculated values
space group = P4/nmm (129)
volume = 152.1 Å³ per cell

***

Run y
AgBiAsO | PBE | relaxed

Structure (POSCAR):
```
AgBiAsO
1.0
4.211 0.000 0.000
0.000 6.776 0.000
0.000 0.000 6.419
Ag Bi As O
2 2 2 2
direct
0.000 0.157 0.000
0.000 0.843 0.500
0.500 0.277 0.420
0.500 0.723 0.920
0.500 0.315 0.851
0.500 0.685 0.351
0.000 0.172 0.375
0.000 0.828 0.875
```

Calculated values
space group = Pmc2_1 (26)
volume = 183.1 Å³ per cell

***

Of them, run x has the highest stability.

***

Run w
CdAgAsO | PBE | relaxed

Structure (POSCAR):
```
CdAgAsO
1.0
3.221 0.000 0.000
0.000 7.035 0.000
0.000 0.000 5.902
Cd Ag As O
2 2 2 2
direct
0.000 0.132 0.000
0.000 0.868 0.500
0.500 0.266 0.510
0.500 0.734 0.010
0.000 0.490 0.236
0.000 0.510 0.736
0.500 0.006 0.259
0.500 0.994 0.759
```

Calculated values
space group = Pmc2_1 (26)
volume = 133.7 Å³ per cell

***

Run x
CdAgAsO | PBE | relaxed

Structure (POSCAR):
```
CdAgAsO
1.0
4.365 0.000 0.000
0.000 7.065 0.000
0.000 0.000 4.727
Cd Ag As O
2 2 2 2
direct
0.000 0.194 0.000
0.000 0.806 0.500
0.500 0.149 0.509
0.500 0.851 0.009
0.500 0.422 0.995
0.500 0.578 0.495
0.000 0.131 0.495
0.000 0.869 0.995
```

Calculated values
space group = Pmc2_1 (26)
volume = 145.8 Å³ per cell

***

Of them, run w has the highest stability.

***

Run w
LiCoAgAs | PBE | relaxed

Structure (POSCAR):
```
LiCoAgAs
1.0
0.000 3.037 3.037
3.037 0.000 3.037
3.037 3.037 0.000
Li Co Ag As
1 1 1 1
direct
0.000 0.000 0.000
0.500 0.500 0.500
0.750 0.750 0.750
0.250 0.250 0.250
```

Calculated values
total magnetic moment = 0.0 Bohr magnetons per cell
space group = F-43m (216)
volume = 56.0 Å³ per cell

***

Run x
LiCoAgAs | PBE | relaxed

Structure (POSCAR):
```
LiCoAgAs
1.0
0.000 3.054 3.054
3.054 0.000 3.054
3.054 3.054 0.000
Li Co Ag As
1 1 1 1
direct
0.000 0.000 0.000
0.750 0.750 0.750
0.250 0.250 0.250
0.500 0.500 0.500
```

Calculated values
total magnetic moment = 1.4 Bohr magnetons per cell
space group = F-43m (216)
volume = 56.9 Å³ per cell

***

Of them, run w has the highest stability.

***

Run w
LuCoAgAs | PBE | relaxed

Structure (POSCAR):
```
LuCoAgAs
1.0
0.000 3.258 3.258
3.258 0.000 3.258
3.258 3.258 0.000
Lu Co Ag As
1 1 1 1
direct
0.000 0.000 0.000
0.500 0.500 0.500
0.750 0.750 0.750
0.250 0.250 0.250
```

Calculated values
total magnetic moment = 0.0 Bohr magnetons per cell
space group = F-43m (216)
volume = 69.1 Å³ per cell

***

Run x
LuCoAgAs | PBE | relaxed

Structure (POSCAR):
```
LuCoAgAs
1.0
0.000 3.244 3.244
3.244 0.000 3.244
3.244 3.244 0.000
Lu Co Ag As
1 1 1 1
direct
0.000 0.000 0.000
0.750 0.750 0.750
0.250 0.250 0.250
0.500 0.500 0.500
```

Calculated values
total magnetic moment = 0.0 Bohr magnetons per cell
space group = F-43m (216)
volume = 68.3 Å³ per cell

***

Of them, run w has the highest stability.

***

Run w
CsAgAs | PBE | relaxed

Structure (POSCAR):
```
CsAgAs
1.0
0.000 3.709 3.709
3.709 0.000 3.709
3.709 3.709 0.000
Cs Ag As
1 1 1
direct
0.000 0.000 0.000
0.750 0.750 0.750
0.500 0.500 0.500
```

Calculated values
space group = F-43m (216)
volume = 102.0 Å³ per cell

***

Run x
CsAgAs | PBE | relaxed

Structure (POSCAR):
```
CsAgAs
1.0
0.000 3.772 3.772
3.772 0.000 3.772
3.772 3.772 0.000
Cs Ag As
1 1 1
direct
0.000 0.000 0.000
0.500 0.500 0.500
0.750 0.750 0.750
```

Calculated values
space group = F-43m (216)
volume = 107.3 Å³ per cell

***

Of them, run w has the highest stability.

***

Run w
CuNiAgAs | PBE | relaxed

Structure (POSCAR):
```
CuNiAgAs
1.0
0.000 3.061 3.061
3.061 0.000 3.061
3.061 3.061 0.000
Cu Ni Ag As
1 1 1 1
direct
0.000 0.000 0.000
0.500 0.500 0.500
0.250 0.250 0.250
0.750 0.750 0.750
```

Calculated values
total magnetic moment = 0.0 Bohr magnetons per cell
space group = F-43m (216)
volume = 57.4 Å³ per cell

***

Run x
CuNiAgAs | PBE | relaxed

Structure (POSCAR):
```
CuNiAgAs
1.0
0.000 3.084 3.084
3.084 0.000 3.084
3.084 3.084 0.000
Cu Ni Ag As
1 1 1 1
direct
0.000 0.000 0.000
0.250 0.250 0.250
0.500 0.500 0.500
0.750 0.750 0.750
```

Calculated values
total magnetic moment = 0.0 Bohr magnetons per cell
space group = F-43m (216)
volume = 58.6 Å³ per cell

***

Of them, run w has the highest stability.

***

Run w
YCuAgAs | PBE | relaxed

Structure (POSCAR):
```
YCuAgAs
1.0
0.000 3.383 3.383
3.383 0.000 3.383
3.383 3.383 0.000
Y Cu Ag As
1 1 1 1
direct
0.000 0.000 0.000
0.500 0.500 0.500
0.750 0.750 0.750
0.250 0.250 0.250
```

Calculated values
total magnetic moment = 0.0 Bohr magnetons per cell
space group = F-43m (216)
volume = 77.4 Å³ per cell

***

Run x
YCuAgAs | PBE | relaxed

Structure (POSCAR):
```
YCuAgAs
1.0
0.000 3.380 3.380
3.380 0.000 3.380
3.380 3.380 0.000
Y Cu Ag As
1 1 1 1
direct
0.000 0.000 0.000
0.750 0.750 0.750
0.250 0.250 0.250
0.500 0.500 0.500
```

Calculated values
total magnetic moment = 0.0 Bohr magnetons per cell
space group = F-43m (216)
volume = 77.2 Å³ per cell

***

Of them, run w has the highest stability.

***

Run w
LiFeAgAs | PBE | relaxed

Structure (POSCAR):
```
LiFeAgAs
1.0
0.000 3.077 3.077
3.077 0.000 3.077
3.077 3.077 0.000
Li Fe Ag As
1 1 1 1
direct
0.000 0.000 0.000
0.500 0.500 0.500
0.750 0.750 0.750
0.250 0.250 0.250
```

Calculated values
total magnetic moment = 2.6 Bohr magnetons per cell
space group = F-43m (216)
volume = 58.3 Å³ per cell

***

Run x
LiFeAgAs | PBE | relaxed

Structure (POSCAR):
```
LiFeAgAs
1.0
0.000 3.087 3.087
3.087 0.000 3.087
3.087 3.087 0.000
Li Fe Ag As
1 1 1 1
direct
0.000 0.000 0.000
0.750 0.750 0.750
0.250 0.250 0.250
0.500 0.500 0.500
```

Calculated values
total magnetic moment = 2.7 Bohr magnetons per cell
space group = F-43m (216)
volume = 58.9 Å³ per cell

***

Of them, run w has the highest stability.

***

Run w
LuFeAgAs | PBE | relaxed

Structure (POSCAR):
```
LuFeAgAs
1.0
0.000 3.279 3.279
3.279 0.000 3.279
3.279 3.279 0.000
Lu Fe Ag As
1 1 1 1
direct
0.000 0.000 0.000
0.750 0.750 0.750
0.250 0.250 0.250
0.500 0.500 0.500
```

Calculated values
total magnetic moment = 1.8 Bohr magnetons per cell
space group = F-43m (216)
volume = 70.5 Å³ per cell

***

Run x
LuFeAgAs | PBE | relaxed

Structure (POSCAR):
```
LuFeAgAs
1.0
0.000 3.251 3.251
3.251 0.000 3.251
3.251 3.251 0.000
Lu Fe Ag As
1 1 1 1
direct
0.000 0.000 0.000
0.500 0.500 0.500
0.750 0.750 0.750
0.250 0.250 0.250
```

Calculated values
total magnetic moment = 2.7 Bohr magnetons per cell
space group = F-43m (216)
volume = 68.7 Å³ per cell

***

Of them, run x has the highest stability.

***

Run w
FeNiAgAs | PBE | relaxed

Structure (POSCAR):
```
FeNiAgAs
1.0
0.000 3.061 3.061
3.061 0.000 3.061
3.061 3.061 0.000
Fe Ni Ag As
1 1 1 1
direct
0.000 0.000 0.000
0.250 0.250 0.250
0.500 0.500 0.500
0.750 0.750 0.750
```

Calculated values
total magnetic moment = 3.0 Bohr magnetons per cell
space group = F-43m (216)
volume = 57.4 Å³ per cell

***

Run x
FeNiAgAs | PBE | relaxed

Structure (POSCAR):
```
FeNiAgAs
1.0
0.000 3.030 3.030
3.030 0.000 3.030
3.030 3.030 0.000
Fe Ni Ag As
1 1 1 1
direct
0.000 0.000 0.000
0.500 0.500 0.500
0.250 0.250 0.250
0.750 0.750 0.750
```

Calculated values
total magnetic moment = 2.7 Bohr magnetons per cell
space group = F-43m (216)
volume = 55.6 Å³ per cell

***

Of them, run x has the highest stability.

***

Run w
ZrFeAgAs | PBE | relaxed

Structure (POSCAR):
```
ZrFeAgAs
1.0
0.000 3.238 3.238
3.238 0.000 3.238
3.238 3.238 0.000
Zr Fe Ag As
1 1 1 1
direct
0.000 0.000 0.000
0.500 0.500 0.500
0.750 0.750 0.750
0.250 0.250 0.250
```

Calculated values
total magnetic moment = 2.1 Bohr magnetons per cell
space group = F-43m (216)
volume = 67.9 Å³ per cell

***

Run x
ZrFeAgAs | PBE | relaxed

Structure (POSCAR):
```
ZrFeAgAs
1.0
0.000 3.223 3.223
3.223 0.000 3.223
3.223 3.223 0.000
Zr Fe Ag As
1 1 1 1
direct
0.000 0.000 0.000
0.750 0.750 0.750
0.250 0.250 0.250
0.500 0.500 0.500
```

Calculated values
total magnetic moment = 1.0 Bohr magnetons per cell
space group = F-43m (216)
volume = 67.0 Å³ per cell

***

Of them, run w has the highest stability.

***

Run w
KNaAgAs | PBE | relaxed

Structure (POSCAR):
```
KNaAgAs
1.0
5.941 0.000 0.000
0.000 5.773 0.000
-1.249 0.000 6.095
K Na Ag As
2 2 2 2
direct
0.038 0.000 0.183
0.962 0.500 0.817
0.330 0.499 0.483
0.670 0.999 0.517
0.500 0.250 0.000
0.500 0.750 0.000
0.244 0.000 0.708
0.756 0.500 0.292
```

Calculated values
space group = P2_1 (4)
volume = 209.0 Å³ per cell

***

Run x
KNaAgAs | PBE | relaxed

Structure (POSCAR):
```
KNaAgAs
1.0
5.851 0.000 0.000
0.000 4.753 3.883
0.000 -4.753 3.883
K Na Ag As
2 2 2 2
direct
0.000 0.175 0.825
0.000 0.825 0.175
0.500 0.119 0.467
0.500 0.467 0.119
0.251 0.635 0.635
0.749 0.635 0.635
0.000 0.365 0.365
0.500 0.907 0.907
```

Calculated values
space group = Amm2 (38)
volume = 216.0 Å³ per cell

***

Of them, run w has the highest stability.

***

Run w
KNaAgAs | PBE | relaxed

Structure (POSCAR):
```
KNaAgAs
1.0
5.976 0.000 0.000
0.000 5.791 0.000
-1.290 0.000 6.203
K Na Ag As
2 2 2 2
direct
0.042 0.250 0.188
0.958 0.750 0.812
0.333 0.750 0.486
0.667 0.250 0.514
0.500 0.000 0.000
0.500 0.500 0.000
0.248 0.250 0.711
0.752 0.750 0.289
```

Calculated values
space group = P2_1/m (11)
volume = 214.7 Å³ per cell

***

Run x
KNaAgAs | PBE | relaxed

Structure (POSCAR):
```
KNaAgAs
1.0
3.827 -4.693 0.000
3.827 4.693 0.000
-0.007 0.000 5.849
K Na Ag As
2 2 2 2
direct
0.147 0.147 0.249
0.853 0.853 0.751
0.207 0.505 0.748
0.495 0.793 0.252
0.676 0.324 0.000
0.676 0.324 0.500
0.393 0.058 0.749
0.942 0.607 0.251
```

Calculated values
space group = C2 (5)
volume = 210.0 Å³ per cell

***

Of them, run w has the highest stability.